Below is a relaxed structure of Li5Ag2HgPd2, with properties calculated at the GGA-PBE level.

Summary:
ΔE_f (eV/f.u.): -2.40
Space-group type: P4/mbm (127)
Density (g/cm3): 6.6

```
Li5Ag2HgPd2
1.0
3.8381 0.0000 0.0000
0.0000 9.3484 0.0000
0.0000 0.0000 9.3484
Li Ag Hg Pd
10 4 2 4
Direct
0.5000 0.2047 0.0799 Li
0.5000 0.7953 0.9201 Li
0.5000 0.0799 0.7953 Li
0.5000 0.7047 0.4201 Li
0.5000 0.9201 0.2047 Li
0.5000 0.2953 0.5799 Li
0.5000 0.5799 0.7047 Li
0.5000 0.4201 0.2953 Li
0.5000 0.5000 0.0000 Li
0.5000 0.0000 0.5000 Li
0.0000 0.6780 0.1780 Ag
0.0000 0.3220 0.8220 Ag
0.0000 0.1780 0.3220 Ag
0.0000 0.8220 0.6780 Ag
0.0000 0.0000 0.0000 Hg
0.0000 0.5000 0.5000 Hg
0.0000 0.1135 0.6135 Pd
0.0000 0.8865 0.3865 Pd
0.0000 0.6135 0.8865 Pd
0.0000 0.3865 0.1135 Pd
```

---

Below is a relaxed structure of Nd7Al2Hg2, with properties calculated at the GGA-PBE level.

Summary:
ΔE_f (eV/f.u.): -0.59
Space-group type: Cmmm (65)
Density (g/cm3): 6.9

```
Nd7Al2Hg2
1.0
6.7344 -0.0030 -0.9413
0.0044 8.0717 0.0028
-1.3590 -0.0019 6.6626
Nd Al Hg
7 2 2
Direct
0.0000 0.2948 0.5000 Nd
0.5000 0.7052 0.0000 Nd
0.0000 0.7052 0.5000 Nd
0.5000 0.2948 0.0000 Nd
0.0000 0.0000 0.0000 Nd
0.5000 0.7254 0.5000 Nd
0.5000 0.2746 0.5000 Nd
0.8345 0.5000 0.8345 Al
0.1655 0.5000 0.1655 Al
0.7087 0.0000 0.2913 Hg
0.2913 0.0000 0.7087 Hg
```

---

Below is a relaxed structure of ReIrI2, with properties calculated at the GGA-PBE level.

Summary:
Energy relative to the lowest polymorph listed for this composition (meV per atom): 177
Formation energy from raw total energies (eV/f.u.): 6.28
Space-group type: Fm-3m (225)
Density (g/cm3): 13.4

```
ReIrI2
1.0
0.0000 3.3996 3.3996
3.3996 0.0000 3.3996
3.3996 3.3996 0.0000
I Re Ir
2 1 1
Direct
0.2500 0.2500 0.2500 I
0.7500 0.7500 0.7500 I
0.0000 0.0000 0.0000 Re
0.5000 0.5000 0.5000 Ir
```

---

Among the records above, which one has the lowest density?
Li5Ag2HgPd2

---

Which formula does entry 2 have?
Nd7Al2Hg2

---

Which value of density does entry 1 give?
6.6 g/cm3